[1]
Density functional theory data (GGA-PBE) for an optimized crystal structure of LuCoSnPt.

Structure (POSCAR):
```
LuCoSnPt
1.0
4.654 0.000 0.000
2.327 4.030 0.000
2.327 1.343 3.800
Lu Pt Sn Co
1 1 1 1
Direct
0.750 0.750 0.750 Lu
0.000 0.000 0.000 Pt
0.250 0.250 0.250 Sn
0.500 0.500 0.500 Co
```

- VASP energy (eV per atom) = -6.014
- space group = F-43m
- energy of formation from the pure elements (meV per atom) = -597


[2]
Density functional theory data (GGA-PBE) for an optimized crystal structure of TbLuCoPt.

Structure (POSCAR):
```
TbLuCoPt
1.0
-4.091 -0.175 -2.520
-0.715 -3.534 -3.181
-3.239 -3.435 0.910
Lu Tb Pt Co
1 1 1 1
Direct
0.250 0.250 0.250 Lu
0.750 0.750 0.750 Tb
0.500 0.500 0.500 Pt
0.000 0.000 0.000 Co
```

- VASP energy (eV per atom) = -6.274
- space group = F-43m
- energy of formation from the pure elements (meV per atom) = -700


[3]
Density functional theory data (GGA-PBE) for an optimized crystal structure of LuTiCoPt.

Structure (POSCAR):
```
LuTiCoPt
1.0
-4.560 0.170 -0.049
-2.277 -0.938 -3.842
-2.424 -3.852 -0.333
Ti Co Lu Pt
1 1 1 1
Direct
0.250 0.250 0.250 Ti
0.000 0.000 0.000 Co
0.750 0.750 0.750 Lu
0.500 0.500 0.500 Pt
```

- VASP energy (eV per atom) = -6.981
- space group = F-43m
- energy of formation from the pure elements (meV per atom) = -590


[4]
Density functional theory data (GGA-PBE) for an optimized crystal structure of LuZnCoPt.

Structure (POSCAR):
```
LuZnCoPt
1.0
4.485 0.000 0.000
2.243 3.884 0.000
2.243 1.295 3.662
Zn Co Pt Lu
1 1 1 1
Direct
0.500 0.500 0.500 Zn
0.250 0.250 0.250 Co
0.750 0.750 0.750 Pt
0.000 0.000 0.000 Lu
```

- VASP energy (eV per atom) = -5.260
- space group = F-43m
- energy of formation from the pure elements (meV per atom) = -524


[5]
Density functional theory data (GGA-PBE) for an optimized crystal structure of Lu2PuCo.

Structure (POSCAR):
```
Lu2PuCo
1.0
3.551 0.000 0.000
1.776 3.075 0.000
1.776 1.025 9.135
Co Lu Pu
1 2 1
Direct
0.500 0.500 0.500 Co
0.225 0.225 0.325 Lu
0.775 0.775 0.675 Lu
0.000 0.000 0.000 Pu
```

- VASP energy (eV per atom) = -7.538
- space group = R-3m
- energy above the lowest structure with this stoichiometry (eV per formula unit) = 0.63
- energy of formation from the pure elements (meV per atom) = 81


[6]
Density functional theory data (GGA-PBE) for an optimized crystal structure of Lu2PuCo.

Structure (POSCAR):
```
Lu2PuCo
1.0
-2.313 -1.745 -1.552
0.260 -2.364 2.269
-6.036 3.834 4.685
Lu Pu Co
2 1 1
Direct
0.000 0.000 0.815 Lu
0.000 0.000 0.185 Lu
0.500 0.500 0.500 Pu
0.500 0.500 0.000 Co
```

- VASP energy (eV per atom) = -7.696
- space group = P4/mmm
- energy above the lowest structure with this stoichiometry (eV per formula unit) = 0.00
- energy of formation from the pure elements (meV per atom) = -76


[7]
Density functional theory data (GGA-PBE) for an optimized crystal structure of LuPuCoTc.

Structure (POSCAR):
```
LuPuCoTc
1.0
-1.929 -4.268 0.362
-0.517 -1.994 4.223
-4.288 -0.490 1.857
Lu Pu Co Tc
1 1 1 1
Direct
0.250 0.250 0.250 Lu
0.750 0.750 0.750 Pu
0.000 0.000 0.000 Co
0.500 0.500 0.500 Tc
```

- VASP energy (eV per atom) = -9.149
- space group = F-43m
- energy of formation from the pure elements (meV per atom) = -68


[8]
Density functional theory data (GGA-PBE) for an optimized crystal structure of LuPuZnCo.

Structure (POSCAR):
```
LuPuZnCo
1.0
4.828 0.000 0.000
2.414 4.181 0.000
2.414 1.394 3.942
Lu Co Pu Zn
1 1 1 1
Direct
0.250 0.250 0.250 Lu
0.000 0.000 0.000 Co
0.750 0.750 0.750 Pu
0.500 0.500 0.500 Zn
```

- VASP energy (eV per atom) = -6.906
- space group = F-43m
- energy of formation from the pure elements (meV per atom) = -98